(1)
AcPmBi4O8 after structural relaxation. Source: Alexandria via LeMat-Bulk, functional GGA-PBE.

a b c (Å): 7.1935 7.1935 18.3621
angles (deg): 90.00 90.00 120.00
Space group R3m (No. 160, hexagonal axes)
Asymmetric unit:
Ac  0.0000  0.0000  0.0000
Pm  0.0000  0.0000  0.3768
Bi  0.0000  0.0000  0.7936
Bi  0.1686  0.3372  0.2115
O  0.0000  0.0000  0.1327
O  0.0000  0.0000  0.6013
O  0.0508  0.5254  0.1333
O  0.1868  0.3736  0.9633

## Properties
- Magnetization: 0.000 Bohr magnetons per cell
- Energy relative to the elements, uncorrected: -1.741 eV/atom
- Raw total energy: -6.32 eV/atom

(2)
AcTlSb2Pd5 after structural relaxation. Source: Alexandria via LeMat-Bulk, functional GGA-PBE.

a b c (Å): 4.282 4.282 11.870
angles (deg): 90.00 90.00 90.00
Space group P4/mmm (No. 123)
Asymmetric unit:
Ac  0.000  0.000  0.000
Tl  0.000  0.000  0.500
Sb  0.500  0.500  0.218
Pd  0.000  0.500  0.346
Pd  0.500  0.500  0.000

## Properties
- Magnetization: 0.000 Bohr magnetons per cell
- Energy relative to the elements, uncorrected: -0.399 eV/atom
- Raw total energy: -4.92 eV/atom

(3)
Fe6CoPt after structural relaxation. Source: Alexandria via LeMat-Bulk, functional GGA-PBE.

a b c (Å): 4.1178 4.1178 20.1331
angles (deg): 90.00 90.00 120.00
Space group R-3m (No. 166, hexagonal axes)
Asymmetric unit:
Fe  0.0000  0.0000  0.1203
Fe  0.0000  0.0000  0.2503
Fe  0.0000  0.0000  0.3713
Co  0.0000  0.0000  0.0000
Pt  0.0000  0.0000  0.5000

## Properties
- Formation energy: -0.059 eV per atom
- Magnetization: 54.611 Bohr magnetons per cell
- Raw total energy: -8.05 eV/atom

(4)
Y2CdPd2 after structural relaxation. Source: Alexandria via LeMat-Bulk, functional GGA-PBE.

a b c (Å): 5.446 5.446 8.176
angles (deg): 90.00 90.00 90.00
Space group I4/mmm (No. 139)
Asymmetric unit:
Y  0.000  0.500  0.250
Cd  0.000  0.000  0.000
Pd  0.000  0.000  0.344

## Properties
- Formation energy: -0.579 eV per atom
- Magnetization: 0.000 Bohr magnetons per cell
- Raw total energy: -5.42 eV/atom

(5)
B3P2 after structural relaxation. Source: Alexandria via LeMat-Bulk, functional GGA-PBE.

a b c (Å): 8.238 3.059 4.706
angles (deg): 90.00 97.95 90.00
Space group Cm (No. 8)
Asymmetric unit:
B  0.000  0.000  0.000
B  0.053  0.500  0.836
B  0.372  0.000  0.587
P  0.009  0.500  0.265
P  0.240  0.500  0.619

## Properties
- Formation energy: 0.330 eV per atom
- Magnetization: 0.000 Bohr magnetons per cell
- Raw total energy: -5.84 eV/atom

(6)
LiTmMg2In4 after structural relaxation. Source: Alexandria via LeMat-Bulk, functional GGA-PBE.

a b c (Å): 5.0360 5.0360 25.3163
angles (deg): 90.00 90.00 120.00
Space group R-3m (No. 166, hexagonal axes)
Asymmetric unit:
Li  0.0000  0.0000  0.0000
Tm  0.0000  0.0000  0.5000
Mg  0.0000  0.0000  0.2486
In  0.0000  0.0000  0.1177
In  0.0000  0.0000  0.3708

## Properties
- Formation energy: -0.238 eV per atom
- Magnetization: 0.000 Bohr magnetons per cell
- Raw total energy: -2.80 eV/atom

Question: Look up the raw total energy of the third one.
Answer: -8.05 eV/atom